VASP calculation (PBE-GGA) on LaCdOs after structural relaxation.

**N(E_F)**: 3.99 states/eV/cell
**Uncorrected energy**: -5.41 eV/atom
**Energy of formation from the pure elements**: 0.28 eV/atom
**Total magnetic moment**: 0.00 Bohr magnetons per cell

abc: 4.777 4.777 4.777
angles: 60.00 60.00 60.00
Element x y z (fractional)
Cd 0.000 0.000 0.000
Os 0.750 0.750 0.750
La 0.500 0.500 0.500

---

VASP calculation (PBE-GGA) on La4Cd2Os after structural relaxation.

**N(E_F)**: 7.76 states/eV/cell
**Uncorrected energy**: -4.92 eV/atom
**Polymorph energy (0 for the lowest one)**: 0 kJ/mol of formula units
**Energy of formation from the pure elements**: -0.24 eV/atom
**Total magnetic moment**: 0.00 Bohr magnetons per cell

abc: 4.784 6.335 8.254
angles: 75.33 73.15 67.81
Element x y z (fractional)
Cd 0.358 0.621 0.662
Cd 0.642 0.379 0.338
Os 0.000 0.000 0.000
La 0.069 0.203 0.659
La 0.931 0.797 0.341
La 0.332 0.276 0.059
La 0.668 0.724 0.941

---

VASP calculation (PBE-GGA) on LaCdOs after structural relaxation.

**N(E_F)**: 2.66 states/eV/cell
**Uncorrected energy**: -5.42 eV/atom
**Energy of formation from the pure elements**: 0.28 eV/atom
**Total magnetic moment**: 0.00 Bohr magnetons per cell

abc: 4.708 4.708 3.748
angles: 90.00 90.00 120.00
Element x y z (fractional)
Cd 0.000 0.000 0.833
Os 0.667 0.333 0.833
La 0.333 0.667 0.333